# Na2ZnSn3

A geometry-optimized Na2ZnSn3 structure (PBE, Alexandria).

a = 6.5123 Å, b = 6.5123 Å, c = 9.1333 Å
α = 90.00°, β = 90.00°, γ = 120.00°
Fractional positions:
Sn 0.1790 0.8210 0.2358
Zn 0.6667 0.3333 0.0582
Sn 0.3580 0.1790 0.7642
Na 0.0000 0.0000 0.0000
Sn 0.8210 0.6420 0.7642
Na 0.3333 0.6667 0.5897
Na 0.0000 0.0000 0.5000
Zn 0.3333 0.6667 0.9418
Sn 0.1790 0.3580 0.2358
Sn 0.6420 0.8210 0.2358
Sn 0.8210 0.1790 0.7642
Na 0.6667 0.3333 0.4103

The calculation puts the excess energy over the best structure of this formula in the dataset at 0.262 eV per atom. The energy relative to the elements comes out at 0.12 eV per atom.

=====

# Na2Zn3Sn

A geometry-optimized Na2Zn3Sn structure (PBE, Alexandria).

a = 5.4592 Å, b = 5.4592 Å, c = 5.8676 Å
α = 90.55°, β = 117.60°, γ = 119.45°
Fractional positions:
Na 0.2452 0.6213 0.8665
Zn 0.0000 0.0000 0.5000
Na 0.7548 0.3787 0.1335
Zn 0.5000 0.5000 0.5000
Zn 0.5000 0.0000 0.5000
Sn 0.0000 0.0000 0.0000

The energy relative to the elements comes out at -0.06 eV per atom.

=====

# Na3Zn8Sn3

A geometry-optimized Na3Zn8Sn3 structure (PBE, Alexandria).

a = 4.4948 Å, b = 8.6405 Å, c = 8.6405 Å
α = 70.26°, β = 74.92°, γ = 74.92°
Fractional positions:
Sn 0.0000 0.7722 0.2278
Na 0.1939 0.8061 0.8061
Sn 0.5000 0.0000 0.0000
Zn 0.6473 0.0854 0.6201
Zn 0.1759 0.4511 0.1971
Na 0.5000 0.5000 0.5000
Na 0.8061 0.1939 0.1939
Zn 0.3527 0.9146 0.3799
Zn 0.1759 0.1971 0.4511
Zn 0.6473 0.6201 0.0854
Zn 0.3527 0.3799 0.9146
Sn 0.0000 0.2278 0.7722
Zn 0.8241 0.8029 0.5489
Zn 0.8241 0.5489 0.8029

The energy relative to the elements comes out at -0.03 eV per atom.

=====

# Na3Zn2Sn3

A geometry-optimized Na3Zn2Sn3 structure (PBE, Alexandria).

a = 4.2562 Å, b = 5.9621 Å, c = 17.2534 Å
α = 90.00°, β = 90.00°, γ = 110.91°
Fractional positions:
Sn 0.3592 0.7184 0.5271
Sn 0.6408 0.2816 0.0271
Sn 0.3592 0.7184 0.9729
Zn 0.2309 0.4618 0.3850
Sn 0.3512 0.7025 0.2500
Sn 0.6408 0.2816 0.4729
Zn 0.2309 0.4618 0.1150
Na 0.9434 0.8868 0.3816
Na 0.6354 0.2709 0.2500
Zn 0.7691 0.5382 0.6150
Zn 0.7691 0.5382 0.8850
Na 0.3646 0.7291 0.7500
Sn 0.6488 0.2975 0.7500
Na 0.0566 0.1132 0.6184
Na 0.0566 0.1132 0.8816
Na 0.9434 0.8868 0.1184

The calculation puts the excess energy over the best structure of this formula in the dataset at 0.000 eV per atom. The energy relative to the elements comes out at -0.12 eV per atom.

=====

# NaZnSn3

A geometry-optimized NaZnSn3 structure (PBE, Alexandria).

a = 5.6797 Å, b = 6.4656 Å, c = 8.0783 Å
α = 113.59°, β = 106.93°, γ = 90.00°
Fractional positions:
Na 0.8029 0.5761 0.1522
Na 0.1971 0.4239 0.8478
Sn 0.6427 0.1114 0.7100
Zn 0.0000 0.0000 0.0000
Zn 0.5000 0.0000 0.0000
Sn 0.1072 0.8198 0.6395
Sn 0.6427 0.5986 0.7100
Sn 0.8928 0.1802 0.3605
Sn 0.3573 0.4014 0.2900
Sn 0.3573 0.8886 0.2900

The calculation puts the excess energy over the best structure of this formula in the dataset at 0.015 eV per atom. The energy relative to the elements comes out at -0.04 eV per atom.

=====

# Na5Zn4Sn2

A geometry-optimized Na5Zn4Sn2 structure (PBE, Alexandria).

a = 5.9273 Å, b = 6.0573 Å, c = 9.1773 Å
α = 78.09°, β = 71.16°, γ = 60.71°
Fractional positions:
Na 0.3200 0.7357 0.1169
Na 0.1726 0.2643 0.8831
Sn 0.2487 0.7666 0.7361
Zn 0.7085 0.7883 0.7947
Na 0.0000 0.5000 0.5000
Na 0.8274 0.7357 0.1169
Zn 0.2915 0.2117 0.2053
Na 0.6800 0.2643 0.8831
Zn 0.3466 0.8778 0.4290
Zn 0.6534 0.1222 0.5710
Sn 0.7513 0.2334 0.2639

The energy relative to the elements comes out at 0.02 eV per atom.